## HfZn2Fe2 (PBE)

Data for crystalline HfZn2Fe2 at its relaxed geometry.

**Excess energy over the best structure of this formula in the dataset**: 0.01 eV per formula unit

Cell lengths 7.307, 7.307, 2.710 Å; angles 90.00, 90.00, 90.00 degrees
Sites, in units of the cell vectors:
1 Hf 0.000 0.000 0.000
2 Hf 0.500 0.500 0.000
3 Zn 0.178 0.322 0.500
4 Zn 0.322 0.822 0.500
5 Zn 0.678 0.178 0.500
6 Zn 0.822 0.678 0.500
7 Fe 0.116 0.616 0.000
8 Fe 0.384 0.116 0.000
9 Fe 0.616 0.884 0.000
10 Fe 0.884 0.384 0.000

---

## HfZn2Fe (PBE)

Data for crystalline HfZn2Fe at its relaxed geometry.

**Excess energy over the best structure of this formula in the dataset**: 0.03 eV per formula unit

Cell lengths 6.250, 6.250, 6.250 Å; angles 90.00, 90.00, 90.00 degrees
Sites, in units of the cell vectors:
1 Hf 0.000 0.000 0.000
2 Hf 0.000 0.500 0.500
3 Hf 0.500 0.000 0.500
4 Hf 0.500 0.500 0.000
5 Zn 0.250 0.250 0.250
6 Zn 0.250 0.250 0.750
7 Zn 0.250 0.750 0.250
8 Zn 0.250 0.750 0.750
9 Zn 0.750 0.250 0.250
10 Zn 0.750 0.250 0.750
11 Zn 0.750 0.750 0.250
12 Zn 0.750 0.750 0.750
13 Fe 0.000 0.000 0.500
14 Fe 0.000 0.500 0.000
15 Fe 0.500 0.000 0.000
16 Fe 0.500 0.500 0.500

---

## Hf8Zn2Fe (PBE)

Data for crystalline Hf8Zn2Fe at its relaxed geometry.

**E_tot**: -91.57 eV per cell

Cell lengths 8.208, 8.208, 5.922 Å; angles 93.04, 93.04, 32.94 degrees
Sites, in units of the cell vectors:
1 Hf 0.028 0.028 0.254
2 Hf 0.208 0.208 0.105
3 Hf 0.340 0.340 0.584
4 Hf 0.410 0.410 0.067
5 Hf 0.590 0.590 0.933
6 Hf 0.660 0.660 0.416
7 Hf 0.792 0.792 0.895
8 Hf 0.972 0.972 0.746
9 Zn 0.159 0.159 0.656
10 Zn 0.841 0.841 0.344
11 Fe 0.500 0.500 0.500

---

no.,V (A^3/atom),total magnetization (μB/cell)
1,14.5,8.4
2,15.3,8.2
3,19.7,0.0